[1]
{"formula": "Li2ZnNi", "functional": "GGA-PBE", "state": "optimized geometry", "total_energy_ha_per_atom": -0.1032, "m_tot_mub_per_atom": 0.001, "lattice": [[5.849, 0.000, 0.000], [0.000, 5.849, 0.000], [0.000, 0.000, 5.849]], "species": ["Li", "Li", "Li", "Li", "Li", "Li", "Li", "Li", "Zn", "Zn", "Zn", "Zn", "Ni", "Ni", "Ni", "Ni"], "fractional_positions": [[0.000, 0.000, 0.000], [0.000, 0.500, 0.500], [0.250, 0.250, 0.250], [0.250, 0.750, 0.750], [0.500, 0.000, 0.500], [0.500, 0.500, 0.000], [0.750, 0.250, 0.750], [0.750, 0.750, 0.250], [0.250, 0.250, 0.750], [0.250, 0.750, 0.250], [0.750, 0.250, 0.250], [0.750, 0.750, 0.750], [0.000, 0.000, 0.500], [0.000, 0.500, 0.000], [0.500, 0.000, 0.000], [0.500, 0.500, 0.500]]}


[2]
{"formula": "Nb8Co2C3N3", "functional": "GGA-PBE", "state": "optimized geometry", "total_energy_ha_per_atom": -0.3566, "m_tot_mub_per_atom": 0.062, "lattice": [[3.137, 0.000, 0.000], [-1.569, 2.717, 0.000], [0.000, 0.000, 23.041]], "species": ["Nb", "Nb", "Nb", "Nb", "Nb", "Nb", "Nb", "Nb", "Co", "Co", "C", "C", "C", "N", "N", "N"], "fractional_positions": [[0.000, 0.000, 0.166], [0.000, 0.000, 0.332], [0.000, 0.000, 0.668], [0.000, 0.000, 0.834], [0.333, 0.667, 0.558], [0.333, 0.667, 0.941], [0.667, 0.333, 0.059], [0.667, 0.333, 0.442], [0.333, 0.667, 0.753], [0.667, 0.333, 0.247], [0.000, 0.000, 0.500], [0.333, 0.667, 0.384], [0.667, 0.333, 0.616], [0.000, 0.000, 0.000], [0.333, 0.667, 0.114], [0.667, 0.333, 0.886]]}